Record 1
# ErPbAuS3 | the Open Quantum Materials Database | PBE | optimized geometry
data_ErPbAuS3
_chemical_formula_sum 'Er4 Pb4 Au4 S12'
_cell_length_a 13.207
_cell_length_b 3.962
_cell_length_c 10.591
_cell_angle_alpha 90.00
_cell_angle_beta 90.00
_cell_angle_gamma 90.00
_space_group_name_H-M_alt 'P 1'
_space_group_IT_number 1
loop_
_space_group_symop_operation_xyz
'x,y,z'
loop_
_atom_site_label
_atom_site_type_symbol
_atom_site_fract_x
_atom_site_fract_y
_atom_site_fract_z
Er1 Er 0.014 0.250 0.169
Er2 Er 0.486 0.750 0.669
Er3 Er 0.514 0.250 0.331
Er4 Er 0.986 0.750 0.831
Pb1 Pb 0.227 0.250 0.458
Pb2 Pb 0.273 0.750 0.958
Pb3 Pb 0.727 0.250 0.042
Pb4 Pb 0.773 0.750 0.542
Au1 Au 0.008 0.750 0.401
Au2 Au 0.492 0.250 0.901
Au3 Au 0.508 0.750 0.099
Au4 Au 0.992 0.250 0.599
S1 S 0.104 0.250 0.938
S2 S 0.120 0.750 0.632
S3 S 0.146 0.750 0.242
S4 S 0.354 0.250 0.742
S5 S 0.380 0.250 0.132
S6 S 0.396 0.750 0.438
S7 S 0.604 0.250 0.562
S8 S 0.620 0.750 0.868
S9 S 0.646 0.750 0.258
S10 S 0.854 0.250 0.758
S11 S 0.880 0.250 0.368
S12 S 0.896 0.750 0.062
# Symmetry: Pnma (62)

***

Record 2
# ErPbAuS3 | the Open Quantum Materials Database | PBE | optimized geometry
data_ErPbAuS3
_chemical_formula_sum 'Er4 Pb4 Au4 S12'
_cell_length_a 11.626
_cell_length_b 4.050
_cell_length_c 12.749
_cell_angle_alpha 90.00
_cell_angle_beta 90.00
_cell_angle_gamma 90.00
_space_group_name_H-M_alt 'P 1'
_space_group_IT_number 1
loop_
_space_group_symop_operation_xyz
'x,y,z'
loop_
_atom_site_label
_atom_site_type_symbol
_atom_site_fract_x
_atom_site_fract_y
_atom_site_fract_z
Er1 Er 0.029 0.250 0.153
Er2 Er 0.471 0.750 0.653
Er3 Er 0.529 0.250 0.347
Er4 Er 0.971 0.750 0.847
Pb1 Pb 0.156 0.250 0.559
Pb2 Pb 0.344 0.750 0.059
Pb3 Pb 0.656 0.250 0.941
Pb4 Pb 0.844 0.750 0.441
Au1 Au 0.218 0.750 0.372
Au2 Au 0.282 0.250 0.872
Au3 Au 0.718 0.750 0.128
Au4 Au 0.782 0.250 0.628
S1 S 0.033 0.750 0.300
S2 S 0.096 0.250 0.942
S3 S 0.243 0.750 0.680
S4 S 0.257 0.250 0.180
S5 S 0.404 0.750 0.442
S6 S 0.467 0.250 0.800
S7 S 0.533 0.750 0.200
S8 S 0.596 0.250 0.558
S9 S 0.743 0.750 0.820
S10 S 0.757 0.250 0.320
S11 S 0.904 0.750 0.058
S12 S 0.967 0.250 0.700
# Symmetry: Pnma (62)

***

Record 3
# ErPbAuS3 | the Open Quantum Materials Database | PBE | optimized geometry
data_ErPbAuS3
_chemical_formula_sum 'Er4 Pb4 Au4 S12'
_cell_length_a 10.268
_cell_length_b 4.060
_cell_length_c 14.621
_cell_angle_alpha 90.00
_cell_angle_beta 90.00
_cell_angle_gamma 90.00
_space_group_name_H-M_alt 'P 1'
_space_group_IT_number 1
loop_
_space_group_symop_operation_xyz
'x,y,z'
loop_
_atom_site_label
_atom_site_type_symbol
_atom_site_fract_x
_atom_site_fract_y
_atom_site_fract_z
Er1 Er 0.168 0.250 0.025
Er2 Er 0.332 0.750 0.525
Er3 Er 0.668 0.250 0.475
Er4 Er 0.832 0.750 0.975
Pb1 Pb 0.017 0.750 0.299
Pb2 Pb 0.483 0.250 0.799
Pb3 Pb 0.517 0.750 0.201
Pb4 Pb 0.983 0.250 0.701
Au1 Au 0.248 0.750 0.828
Au2 Au 0.252 0.250 0.328
Au3 Au 0.748 0.750 0.672
Au4 Au 0.752 0.250 0.172
S1 S 0.023 0.750 0.104
S2 S 0.169 0.750 0.680
S3 S 0.171 0.250 0.476
S4 S 0.329 0.750 0.976
S5 S 0.331 0.250 0.180
S6 S 0.477 0.250 0.604
S7 S 0.523 0.750 0.396
S8 S 0.669 0.750 0.820
S9 S 0.671 0.250 0.024
S10 S 0.829 0.750 0.524
S11 S 0.831 0.250 0.320
S12 S 0.977 0.250 0.896
# Symmetry: Pnma (62)

***

no.,excess energy over the best structure of this formula in the dataset (kcal/mol of atoms)
1,1.97
2,1.40
3,0.00